Record 1
# Ag2IrWI | Alexandria | PBE | relaxed
data_Ag2IrWI
_symmetry_space_group_name_H-M 'P 4/m m m'
_symmetry_Int_Tables_number 123
_symmetry_space_group_name_Hall '-P 4 2'
_cell_length_a 5.0079
_cell_length_b 5.0079
_cell_length_c 5.0044
_cell_angle_alpha 90.00
_cell_angle_beta 90.00
_cell_angle_gamma 90.00
loop_
_atom_site_label
_atom_site_type_symbol
_atom_site_fract_x
_atom_site_fract_y
_atom_site_fract_z
Ag1 Ag 0.0000 0.5000 0.0000
Ir1 Ir 0.0000 0.0000 0.5000
W1 W 0.5000 0.5000 0.5000
I1 I 0.5000 0.5000 0.0000
# total moment	2.342	μB/cell
# raw total energy	-3.4194	eV/atom
# density	9.5	g cm⁻³
# DOS at the Fermi energy	6.117	states/eV per cell

=====

Record 2
# Mn2IBr3 | Alexandria | PBE | relaxed
data_Mn2IBr3
_symmetry_space_group_name_H-M 'P -3 m 1'
_symmetry_Int_Tables_number 164
_symmetry_space_group_name_Hall '-P 3 2"'
_cell_length_a 7.9040
_cell_length_b 7.9040
_cell_length_c 7.1885
_cell_angle_alpha 90.00
_cell_angle_beta 90.00
_cell_angle_gamma 120.00
loop_
_atom_site_label
_atom_site_type_symbol
_atom_site_fract_x
_atom_site_fract_y
_atom_site_fract_z
Mn1 Mn 0.0000 0.0000 0.0000
Mn2 Mn 0.0000 0.5000 0.0000
I1 I 0.3333 0.6667 0.7545
Br1 Br 0.1671 0.3342 0.2052
# total moment	20.000	μB/cell
# raw total energy	-4.8444	eV/atom
# density	4.1	g cm⁻³

=====

Record 3
# AcPm2UN4 | Alexandria | PBE | relaxed
data_AcPm2UN4
_symmetry_space_group_name_H-M 'C m c m'
_symmetry_Int_Tables_number 63
_symmetry_space_group_name_Hall '-C 2c 2'
_cell_length_a 3.6388
_cell_length_b 12.6591
_cell_length_c 12.5804
_cell_angle_alpha 90.00
_cell_angle_beta 90.00
_cell_angle_gamma 90.00
loop_
_atom_site_label
_atom_site_type_symbol
_atom_site_fract_x
_atom_site_fract_y
_atom_site_fract_z
Ac1 Ac 0.0000 0.1679 0.2500
Pm1 Pm 0.0000 0.3698 0.0149
U1 U 0.0000 0.0989 0.7500
N1 N 0.0000 0.0000 0.0000
N2 N 0.0000 0.2308 0.6244
N3 N 0.0000 0.4996 0.2500
# total moment	9.212	μB/cell
# raw total energy	-8.3294	eV/atom
# density	9.3	g cm⁻³
# DOS at the Fermi energy	23.454	states/eV per cell

=====

Record 4
# PbAu3 | Alexandria | PBE | relaxed
data_PbAu3
_symmetry_space_group_name_H-M 'P m m 2'
_symmetry_Int_Tables_number 25
_cell_length_a 3.4220
_cell_length_b 4.3367
_cell_length_c 5.9442
_cell_angle_alpha 90.00
_cell_angle_beta 90.00
_cell_angle_gamma 90.00
loop_
_symmetry_equiv_pos_as_xyz
'x,y,z'
'-x,-y,z'
'-x,y,z'
'x,-y,z'
loop_
_atom_site_label
_atom_site_type_symbol
_atom_site_fract_x
_atom_site_fract_y
_atom_site_fract_z
Pb1 Pb 0.0000 0.0000 0.0000
Au1 Au 0.0000 0.5000 0.6219
Au2 Au 0.5000 0.0000 0.5377
Au3 Au 0.5000 0.5000 0.2128
# total moment	0.000	μB/cell
# density	15.0	g cm⁻³
# ΔH_f (0 K)	0.036	eV/atom
# DOS at the Fermi energy	1.501	states/eV per cell